(1)
Entry from Alexandria: Ce5NdGa6 after structural relaxation (PBE).

Lattice parameters (Å, degrees): 8.535 8.535 8.535 148.29 120.26 69.23
Sites, in units of the cell vectors:
1 Ce 0.000 0.000 0.000
2 Ce 0.168 0.668 0.500
3 Ce 0.325 0.325 0.000
4 Ce 0.675 0.675 0.000
5 Ce 0.832 0.332 0.500
6 Nd 0.500 0.000 0.500
7 Ga 0.086 0.835 0.251
8 Ga 0.250 0.500 0.750
9 Ga 0.416 0.165 0.251
10 Ga 0.584 0.835 0.749
11 Ga 0.750 0.500 0.250
12 Ga 0.914 0.165 0.749

Output
The formation energy comes out at -488.6 meV/atom. The total energy is -4.872 eV/atom.

***

(2)
Entry from Alexandria: Li2ScSnSe4 after structural relaxation (PBE).

Lattice parameters (Å, degrees): 6.849 3.915 6.933 90.00 109.90 90.00
Sites, in units of the cell vectors:
1 Li 0.000 0.000 0.000
2 Li 0.000 0.500 0.500
3 Sc 0.500 0.000 0.500
4 Sn 0.500 0.500 0.000
5 Se 0.248 0.000 0.735
6 Se 0.256 0.500 0.258
7 Se 0.744 0.500 0.742
8 Se 0.752 0.000 0.265

Output
Its uncorrected formation energy is -1136 meV/atom. The total energy is -4.648 eV/atom.

***

(3)
Entry from Alexandria: Ac2PmBi3Rh4 after structural relaxation (PBE).

Lattice parameters (Å, degrees): 4.672 4.672 11.549 90.00 90.00 90.00
Sites, in units of the cell vectors:
1 Ac 0.000 0.500 0.229
2 Ac 0.500 0.000 0.771
3 Pm 0.000 0.000 0.500
4 Bi 0.000 0.500 0.875
5 Bi 0.500 0.000 0.125
6 Bi 0.500 0.500 0.500
7 Rh 0.000 0.000 0.000
8 Rh 0.000 0.500 0.643
9 Rh 0.500 0.000 0.357
10 Rh 0.500 0.500 0.000

Output
The formation energy comes out at -606.8 meV/atom. The total energy is -6.008 eV/atom.

***

(4)
Entry from Alexandria: PrPu3P4 after structural relaxation (PBE).

Lattice parameters (Å, degrees): 5.731 5.731 5.731 90.00 90.00 90.00
Sites, in units of the cell vectors:
1 Pr 0.000 0.000 0.000
2 Pu 0.000 0.500 0.500
3 Pu 0.500 0.000 0.500
4 Pu 0.500 0.500 0.000
5 P 0.000 0.000 0.500
6 P 0.000 0.500 0.000
7 P 0.500 0.000 0.000
8 P 0.500 0.500 0.500

Output
The formation energy comes out at -1211.3 meV/atom. The total energy is -9.888 eV/atom.

***

(5)
Entry from Alexandria: BaNa2Tl2 after structural relaxation (PBE).

Lattice parameters (Å, degrees): 9.306 9.306 3.819 90.00 90.00 90.00
Sites, in units of the cell vectors:
1 Ba 0.000 0.000 0.000
2 Ba 0.500 0.500 0.000
3 Na 0.117 0.383 0.000
4 Na 0.383 0.883 0.000
5 Na 0.617 0.117 0.000
6 Na 0.883 0.617 0.000
7 Tl 0.182 0.682 0.500
8 Tl 0.318 0.182 0.500
9 Tl 0.682 0.818 0.500
10 Tl 0.818 0.318 0.500

Output
The formation energy comes out at -160.4 meV/atom. The total energy is -2.019 eV/atom.

***

(6)
Entry from Alexandria: Cr2ReRh after structural relaxation (PBE).

Lattice parameters (Å, degrees): 2.687 2.687 25.705 90.00 90.00 120.00
Sites, in units of the cell vectors:
1 Cr 0.000 0.000 0.249
2 Cr 0.000 0.000 0.751
3 Cr 0.333 0.667 0.418
4 Cr 0.333 0.667 0.916
5 Cr 0.667 0.333 0.084
6 Cr 0.667 0.333 0.582
7 Re 0.000 0.000 0.000
8 Re 0.333 0.667 0.667
9 Re 0.667 0.333 0.333
10 Rh 0.000 0.000 0.500
11 Rh 0.333 0.667 0.167
12 Rh 0.667 0.333 0.833

Output
The formation energy comes out at 170.9 meV/atom. The total energy is -9.591 eV/atom.

***

(7)
Entry from Alexandria: Zn3HgCl after structural relaxation (PBE).

Lattice parameters (Å, degrees): 5.276 5.276 5.276 90.00 90.00 90.00
Sites, in units of the cell vectors:
1 Zn 0.000 0.000 0.500
2 Zn 0.000 0.500 0.000
3 Zn 0.500 0.000 0.000
4 Hg 0.500 0.500 0.500
5 Cl 0.000 0.000 0.000

Output
Its uncorrected formation energy is 470 meV/atom. The total energy is -0.724 eV/atom.

***

(8)
Entry from Alexandria: TbEuSi4 after structural relaxation (PBE).

Lattice parameters (Å, degrees): 5.378 5.378 5.378 60.00 60.00 60.00
Sites, in units of the cell vectors:
1 Tb 0.000 0.000 0.000
2 Eu 0.750 0.750 0.750
3 Si 0.374 0.374 0.374
4 Si 0.374 0.374 0.879
5 Si 0.374 0.879 0.374
6 Si 0.879 0.374 0.374

Output
Its uncorrected formation energy is -310 meV/atom. The total energy is -6.410 eV/atom.